[1]
A relaxed structure of TaTlRe2. Source: the Alexandria database, functional PBE-GGA.

It has space group P2/m (No. 10), with a = 2.900 Å, b = 4.298 Å, c = 5.871 Å, α = 90.00°, β = 93.74° and γ = 90.00°. The distinct sites, in fractional coordinates, are Ta at (0.000, 0.000, 0.000), Tl at (0.000, 0.000, 0.500) and Re at (0.384, 0.500, 0.205).

The formation energy comes out at 2.331 eV per formula unit. As for the energy above the lowest structure with this stoichiometry: 215.2 meV per atom.



[2]
A relaxed structure of TaTlRe2. Source: the Alexandria database, functional PBE-GGA.

It has space group Cmmm (No. 65), with a = 3.187 Å, b = 4.791 Å, c = 9.352 Å, α = 90.00°, β = 90.00° and γ = 90.00°. The distinct sites, in fractional coordinates, are Ta at (0.000, 0.000, 0.000), Tl at (0.000, 0.000, 0.500) and Re at (0.000, 0.500, 0.228).

The formation energy comes out at 1.885 eV per formula unit. As for the energy above the lowest structure with this stoichiometry: 103.6 meV per atom.



[3]
A relaxed structure of Ta3TlRe. Source: the Alexandria database, functional PBE-GGA.

It has space group Pm-3m (No. 221), with a = 4.964 Å, b = 4.964 Å, c = 4.964 Å, α = 90.00°, β = 90.00° and γ = 90.00°. The distinct sites, in fractional coordinates, are Ta at (0.000, 0.000, 0.500), Tl at (0.000, 0.000, 0.000) and Re at (0.500, 0.500, 0.500).

The formation energy comes out at 14.480 eV per formula unit. As for the energy above the lowest structure with this stoichiometry: 1705.8 meV per atom.



[4]
A relaxed structure of TaTlRe. Source: the Alexandria database, functional PBE-GGA.

It has space group F-43m (No. 216), with a = 6.396 Å, b = 6.396 Å, c = 6.396 Å, α = 90.00°, β = 90.00° and γ = 90.00°. The distinct sites, in fractional coordinates, are Ta at (0.000, 0.000, 0.000), Tl at (0.250, 0.250, 0.250) and Re at (0.250, 0.250, 0.750).

The formation energy comes out at 3.253 eV per formula unit. As for the energy above the lowest structure with this stoichiometry: 591.8 meV per atom.